No. 1
Ce2ReSi6, optimized geometry, DFT GGA-PBE; magnetization = 0.0 μB/f.u.; uncorrected formation energy = -0.510 eV per atom; Fermi-level density of states = 3.77 states/eV/f.u.
1.0
5.819 0.000 0.000
-2.909 5.039 0.000
0.000 0.000 5.275
Ce Re Si
2 1 6
Direct
0.333 0.667 0.191 Ce
0.667 0.333 0.809 Ce
0.000 0.000 0.000 Re
0.182 0.365 0.682 Si
0.182 0.818 0.682 Si
0.365 0.182 0.318 Si
0.635 0.818 0.682 Si
0.818 0.182 0.318 Si
0.818 0.635 0.318 Si

No. 2
CeReSi, optimized geometry, DFT GGA-PBE; magnetization = 0.0 μB/f.u.; uncorrected formation energy = -0.205 eV per atom; Fermi-level density of states = 2.71 states/eV/f.u.
1.0
3.968 0.000 0.000
-0.180 3.969 0.000
-0.806 -0.825 7.793
Ce Re Si
2 2 2
Direct
0.000 0.000 0.000 Ce
0.077 0.077 0.391 Ce
0.512 0.940 0.676 Re
0.938 0.511 0.675 Re
0.466 0.467 0.868 Si
0.542 0.542 0.182 Si

Fermi-level density of states of number 2 (CeReSi)?
2.71 states/eV/f.u.

Among the records above, which one has the highest uncorrected formation energy?
CeReSi

Please write out number 2 again, unchanged.
CeReSi, optimized geometry, DFT GGA-PBE; magnetization = 0.0 μB/f.u.; uncorrected formation energy = -0.205 eV per atom; Fermi-level density of states = 2.71 states/eV/f.u.
1.0
3.968 0.000 0.000
-0.180 3.969 0.000
-0.806 -0.825 7.793
Ce Re Si
2 2 2
Direct
0.000 0.000 0.000 Ce
0.077 0.077 0.391 Ce
0.512 0.940 0.676 Re
0.938 0.511 0.675 Re
0.466 0.467 0.868 Si
0.542 0.542 0.182 Si